Record 1
Entry from Alexandria: an optimized crystal structure of BPdN2O (PBE).

Cell: 3.453 3.453 3.384 Å, 90.00 90.00 90.00°
Element x y z (fractional)
B 0.000 0.000 0.000
O 0.000 0.000 0.500
Pd 0.500 0.500 0.500
N 0.000 0.500 0.000
N 0.500 0.000 0.000

Values from the calculation:
Total magnetic moment, μB/atom: 0.000
Formation energy without anion corrections, eV/f.u.: 5.08

=====

Record 2
Entry from Alexandria: an optimized crystal structure of HoCdHgPb (PBE).

Cell: 4.649 4.411 4.897 Å, 90.00 90.00 90.00°
Element x y z (fractional)
Ho 0.500 0.000 0.500
Cd 0.000 0.000 0.000
Hg 0.500 0.500 0.000
Pb 0.000 0.500 0.500

Values from the calculation:
Total magnetic moment, μB/atom: 0.000
Offset from the most stable computed form, meV per atom: 0

=====

Record 3
Entry from Alexandria: an optimized crystal structure of ZrCr3Cl (PBE).

Cell: 4.213 4.213 4.213 Å, 90.00 90.00 90.00°
Each line ends with the local moment (μB).
Element x y z (fractional)
Cr 0.000 0.500 0.000  0.90
Cr 0.000 0.000 0.500  0.97
Cr 0.500 0.000 0.000  0.70
Zr 0.500 0.500 0.500  -0.11
Cl 0.000 0.000 0.000  -0.03

Values from the calculation:
Total magnetic moment, μB/atom: 0.490
Formation energy without anion corrections, eV/f.u.: 3.01
Offset from the most stable computed form, meV per atom: 0

=====

Let's list electronic total energy in order: -5.680, -2.701, -7.250 eV per atom.